Entry from the Alexandria database: Na2ScW3O12 after structural relaxation (PBE+U).

Cell lengths 7.4438, 7.4438, 18.3801 Å; angles 90.00, 90.00, 120.00 degrees
Space group R-3m (No. 166, hexagonal axes)
Symmetry-distinct sites (fractional):
1 Na 0.0000 0.0000 0.1934
2 Sc 0.0000 0.0000 0.5000
3 W 0.0000 0.5000 0.0000
4 O 0.0607 0.5304 0.1016
5 O 0.0900 0.5450 0.3507

## Properties
**Fermi-level density of states**: 0.57 states/eV/atom
**Total magnetic moment**: 3.27 Bohr magnetons per cell
**Total DFT energy (no corrections)**: -127.3 eV per formula unit